Here is a geometry-optimized NiMoIO2 structure from Alexandria. Energies are from PBE with a Hubbard U.

The structure in POSCAR format:
```
NiMoIO2
1.0
3.840 0.000 0.000
0.000 3.840 0.000
0.000 0.000 7.379
Ni Mo I O
1 1 1 2
direct
0.000 0.000 0.000
0.500 0.500 0.500
0.500 0.500 0.000
0.000 0.500 0.500
0.500 0.000 0.500
```

Calculated values
calculated volume = 108.8 Å³/cell
polymorph energy (0 for the lowest one) = 0.00 eV/f.u.
SG = No. 123
E = -22.84 eV per formula unit
crystal system = tetragonal